This record from Alexandria describes LiSc2V2 after structural relaxation. The functional is PBE.

As for the total magnetic moment: 0.29 μB/cell. The total energy is -58.1 eV/cell. The formation energy comes out at 749 meV per atom. Its crystal system is tetragonal. The value obtained for the polymorph energy (0 for the lowest one) is 415.9 meV/atom.

The space group is I4/mmm (No. 139) and the conventional cell measures 4.055, 4.055 and 12.391 Å, with angles of 90.00, 90.00 and 90.00 degrees. The distinct sites, in fractional coordinates, are Li at (0.000, 0.000, 0.000), Sc at (0.000, 0.500, 0.250) and V at (0.000, 0.000, 0.425).